1.
# Ba2Cd3Ge2

An optimized crystal structure of Ba2Cd3Ge2 (GGA-PBE, the Alexandria database).

Calculated values
- E_tot: -2.588 eV/atom
- M_tot: 0.0000 μB per atom
- Distance to the lowest polymorph of the same formula: 0.000 eV/atom
- N(E_F): 0.6487 states/eV/atom

abc: 4.961 6.373 7.338
angles: 107.17 90.00 112.91
Atoms (fractional coordinates):
1 Ba 0.854 0.708 0.226
2 Ba 0.146 0.292 0.774
3 Cd 0.500 0.000 0.000
4 Cd 0.604 0.207 0.427
5 Cd 0.396 0.793 0.573
6 Ge 0.840 0.680 0.726
7 Ge 0.160 0.320 0.274

=====

2.
# Ba2CdGe2

An optimized crystal structure of Ba2CdGe2 (GGA-PBE, the Alexandria database).

Calculated values
- E_tot: -3.245 eV/atom
- M_tot: 0.0000 μB per atom
- Distance to the lowest polymorph of the same formula: 0.051 eV/atom
- N(E_F): 0.3922 states/eV/atom

abc: 6.644 6.505 8.614
angles: 99.91 90.00 120.71
Atoms (fractional coordinates):
1 Ba 0.509 0.299 0.142
2 Ba 0.211 0.701 0.358
3 Ba 0.491 0.701 0.858
4 Ba 0.789 0.299 0.642
5 Cd 0.903 0.000 0.250
6 Cd 0.097 0.000 0.750
7 Ge 0.701 0.725 0.500
8 Ge 0.976 0.275 0.000
9 Ge 0.299 0.275 0.500
10 Ge 0.024 0.725 0.000

=====

3.
# BaCdGe

An optimized crystal structure of BaCdGe (GGA-PBE, the Alexandria database).

Calculated values
- E_tot: -2.928 eV/atom
- M_tot: 0.0000 μB per atom
- N(E_F): 0.1883 states/eV/atom

abc: 8.267 5.070 11.630
angles: 90.00 134.34 90.00
Atoms (fractional coordinates):
1 Ba 0.701 0.000 0.949
2 Ba 0.299 0.000 0.051
3 Ba 0.701 0.500 0.449
4 Ba 0.299 0.500 0.551
5 Cd 0.741 0.000 0.666
6 Cd 0.259 0.000 0.334
7 Cd 0.741 0.500 0.166
8 Cd 0.259 0.500 0.834
9 Ge 0.907 0.000 0.350
10 Ge 0.093 0.000 0.650
11 Ge 0.907 0.500 0.850
12 Ge 0.093 0.500 0.150